DFT (PBE+U) results for an optimized crystal structure of AcVO4.

Structure (POSCAR):
```
AcVO4
1.0
-4.804 -3.499 -2.419
5.025 -3.258 2.303
-2.247 -3.540 4.857
O V Ac
8 2 2
Cartesian
0.120 -6.589 5.436
-0.501 -1.444 0.168
-0.773 -6.575 2.894
-2.145 -3.709 -0.695
-4.009 -5.497 1.378
1.984 -4.801 3.364
-1.524 -8.854 4.573
-1.252 -3.723 1.847
-0.290 -7.693 4.146
-1.735 -2.605 0.595
-1.624 -5.983 0.537
-0.401 -4.314 4.204
```

Values from the calculation:
Symmetry: I4_1/amd
Theoretical density, g/cm³: 5.6
Total magnetic moment, μB/cell: 0.00
Relative energy among the computed polymorphs, eV/atom: 0.0000